DFT (GGA+U) results for an optimized crystal structure of UFe2SbO6.

Calculated values
The calculation puts the electronic total energy at -72.289 eV/cell.

The structure in CIF format:
```
data_UFe2SbO6
_cell_length_a 6.199
_cell_length_b 6.199
_cell_length_c 4.132
_cell_angle_alpha 90.00
_cell_angle_beta 90.00
_cell_angle_gamma 90.00
_symmetry_space_group_name_H-M 'P 4 m m'
_symmetry_Int_Tables_number 99
loop_
_symmetry_equiv_pos_as_xyz
'x,y,z'
'-y,x,z'
'-x,-y,z'
'y,-x,z'
'-x,y,z'
'y,x,z'
'x,-y,z'
'-y,-x,z'
loop_
_atom_site_label
_atom_site_fract_x
_atom_site_fract_y
_atom_site_fract_z
_atom_site_occupancy
U1 0.000 0.000 0.000 1
Fe1 0.000 0.500 0.017 1
Sb1 0.500 0.500 0.998 1
O1 0.000 0.000 0.501 1
O2 0.251 0.251 0.005 1
O3 0.500 0.500 0.500 1
```